# 1
Computed, not measured: an optimized crystal structure of ReAsPb2 at the PBE level of DFT.

a b c (Å): 10.3926 10.3926 10.3926
angles (deg): 18.04 18.04 18.04
Atoms (fractional coordinates):
1 Re 0.0000 0.0000 0.0000
2 As 0.2800 0.2800 0.2800
3 Pb 0.5168 0.5168 0.5168
4 Pb 0.7440 0.7440 0.7440

Properties
ΔH_f (0 K) ... 1.083 eV per formula unit
Total magnetic moment ... 0.000 μB/f.u.
Density ... 11.94 Mg/m³
DOS at the Fermi energy ... 1.665 states/eV/cell
Space group ... R3m, No. 160

---

# 2
Computed, not measured: an optimized crystal structure of ReAsPb2 at the PBE level of DFT.

a b c (Å): 3.5618 4.6567 5.3637
angles (deg): 90.00 90.00 90.00
Atoms (fractional coordinates):
1 Re 0.0000 0.0000 0.0000
2 As 0.5000 0.0000 0.5000
3 Pb 0.0000 0.5000 0.5000
4 Pb 0.5000 0.5000 0.0000

Properties
ΔH_f (0 K) ... 4.128 eV per formula unit
Total magnetic moment ... 0.001 μB/f.u.
Density ... 12.61 Mg/m³
DOS at the Fermi energy ... 4.334 states/eV/cell
Space group ... Pmmm, No. 47

---

# 3
Computed, not measured: an optimized crystal structure of ReAsPb2 at the PBE level of DFT.

a b c (Å): 3.3508 5.2760 6.3633
angles (deg): 67.97 87.19 73.24
Atoms (fractional coordinates):
1 Re 0.0000 0.0000 0.0000
2 As 0.4831 0.0994 0.6974
3 Pb 0.2814 0.4355 0.0418
4 Pb 0.5815 0.7464 0.4204

Properties
ΔH_f (0 K) ... 1.545 eV per formula unit
Total magnetic moment ... 0.000 μB/f.u.
Density ... 11.26 Mg/m³
DOS at the Fermi energy ... 1.709 states/eV/cell
Space group ... P1, No. 1

---

# 4
Computed, not measured: an optimized crystal structure of ReAs3Pb at the PBE level of DFT.

a b c (Å): 4.9103 4.9103 4.9103
angles (deg): 90.00 90.00 90.00
Atoms (fractional coordinates):
1 Re 0.0000 0.0000 0.0000
2 As 0.0000 0.0000 0.5000
3 As 0.0000 0.5000 0.0000
4 As 0.5000 0.0000 0.0000
5 Pb 0.5000 0.5000 0.5000

Properties
ΔH_f (0 K) ... 2.484 eV per formula unit
Total magnetic moment ... 0.000 μB/f.u.
Density ... 8.67 Mg/m³
DOS at the Fermi energy ... 5.660 states/eV/cell
Space group ... Pm-3m, No. 221

---

# 5
Computed, not measured: an optimized crystal structure of ReAs2PbSe at the PBE level of DFT.

a b c (Å): 4.7096 4.7096 5.7327
angles (deg): 90.00 90.00 90.00
Atoms (fractional coordinates):
1 Re 0.0000 0.0000 0.0000
2 As 0.0000 0.5000 0.0000
3 As 0.5000 0.0000 0.0000
4 Pb 0.5000 0.5000 0.5000
5 Se 0.0000 0.0000 0.5000

Properties
Total magnetic moment ... 0.000 μB/f.u.
Density ... 8.13 Mg/m³
Energy relative to the elements, uncorrected ... 0.36 eV/atom
DOS at the Fermi energy ... 3.010 states/eV/cell
Space group ... P4/mmm, No. 123

---

# 6
Computed, not measured: an optimized crystal structure of ReAs2PbSe at the PBE level of DFT.

a b c (Å): 5.3746 5.3746 5.3317
angles (deg): 90.00 90.00 90.00
Atoms (fractional coordinates):
1 Re 0.0000 0.0000 0.0000
2 As 0.0000 0.5000 0.5000
3 As 0.5000 0.0000 0.5000
4 Pb 0.5000 0.5000 0.5000
5 Se 0.5000 0.5000 0.0000

Properties
Total magnetic moment ... 3.358 μB/f.u.
Density ... 6.71 Mg/m³
Energy relative to the elements, uncorrected ... 1.94 eV/atom
DOS at the Fermi energy ... 4.385 states/eV/cell
Space group ... P4/mmm, No. 123

---

# 7
Computed, not measured: an optimized crystal structure of ReSiAsPb2 at the PBE level of DFT.

a b c (Å): 5.4295 5.4295 4.6648
angles (deg): 90.00 90.00 90.00
Atoms (fractional coordinates):
1 Re 0.0000 0.0000 0.0000
2 Si 0.5000 0.5000 0.5000
3 As 0.0000 0.0000 0.5000
4 Pb 0.0000 0.5000 0.0000
5 Pb 0.5000 0.0000 0.0000

Properties
Total magnetic moment ... 0.909 μB/f.u.
Density ... 8.50 Mg/m³
Energy relative to the elements, uncorrected ... 0.86 eV/atom
DOS at the Fermi energy ... 4.741 states/eV/cell
Space group ... P4/mmm, No. 123

---

# 8
Computed, not measured: an optimized crystal structure of TiReAs2Pb at the PBE level of DFT.

a b c (Å): 4.7229 4.7229 5.5998
angles (deg): 90.00 90.00 90.00
Atoms (fractional coordinates):
1 Ti 0.0000 0.0000 0.0000
2 Re 0.5000 0.5000 0.5000
3 As 0.0000 0.5000 0.5000
4 As 0.5000 0.0000 0.5000
5 Pb 0.5000 0.5000 0.0000

Properties
ΔH_f (0 K) ... 4.523 eV per formula unit
Total magnetic moment ... 0.300 μB/f.u.
Density ... 7.86 Mg/m³
DOS at the Fermi energy ... 8.662 states/eV/cell
Space group ... P4/mmm, No. 123

---

# 9
Computed, not measured: an optimized crystal structure of TlReAs2Pb at the PBE level of DFT.

a b c (Å): 5.3287 5.3287 5.2578
angles (deg): 90.00 90.00 90.00
Atoms (fractional coordinates):
1 Tl 0.0000 0.0000 0.0000
2 Re 0.0000 0.0000 0.5000
3 As 0.0000 0.5000 0.0000
4 As 0.5000 0.0000 0.0000
5 Pb 0.5000 0.5000 0.5000

Properties
ΔH_f (0 K) ... 8.351 eV per formula unit
Total magnetic moment ... 3.609 μB/f.u.
Density ... 8.32 Mg/m³
DOS at the Fermi energy ... 3.175 states/eV/cell
Space group ... P4/mmm, No. 123

---

# 10
Computed, not measured: an optimized crystal structure of ReAs2PbW at the PBE level of DFT.

a b c (Å): 4.7434 4.7434 5.4915
angles (deg): 90.00 90.00 90.00
Atoms (fractional coordinates):
1 Re 0.0000 0.0000 0.0000
2 As 0.0000 0.5000 0.0000
3 As 0.5000 0.0000 0.0000
4 Pb 0.0000 0.0000 0.5000
5 W 0.5000 0.5000 0.5000

Properties
ΔH_f (0 K) ... 7.532 eV per formula unit
Total magnetic moment ... 3.952 μB/f.u.
Density ... 9.77 Mg/m³
DOS at the Fermi energy ... 3.543 states/eV/cell
Space group ... P4/mmm, No. 123

---

# 11
Computed, not measured: an optimized crystal structure of ZnRe2AsPb at the PBE level of DFT.

a b c (Å): 5.1273 5.1273 5.2386
angles (deg): 90.00 90.00 90.00
Atoms (fractional coordinates):
1 Zn 0.0000 0.0000 0.0000
2 Re 0.0000 0.5000 0.5000
3 Re 0.5000 0.0000 0.5000
4 As 0.5000 0.5000 0.0000
5 Pb 0.5000 0.5000 0.5000

Properties
ΔH_f (0 K) ... 13.433 eV per formula unit
Total magnetic moment ... 3.863 μB/f.u.
Density ... 8.68 Mg/m³
DOS at the Fermi energy ... 4.758 states/eV/cell
Space group ... P4/mmm, No. 123

---

# 12
Computed, not measured: an optimized crystal structure of ZnReAsPb2 at the PBE level of DFT.

a b c (Å): 5.2499 5.2499 4.8571
angles (deg): 90.00 90.00 90.00
Atoms (fractional coordinates):
1 Zn 0.0000 0.0000 0.0000
2 Re 0.0000 0.0000 0.5000
3 As 0.5000 0.5000 0.5000
4 Pb 0.0000 0.5000 0.0000
5 Pb 0.5000 0.0000 0.0000

Properties
ΔH_f (0 K) ... 6.512 eV per formula unit
Total magnetic moment ... 2.449 μB/f.u.
Density ... 9.19 Mg/m³
DOS at the Fermi energy ... 3.389 states/eV/cell
Space group ... P4/mmm, No. 123

---

# 13
Computed, not measured: an optimized crystal structure of As2RhPb2 at the PBE level of DFT.

a b c (Å): 6.4139 6.4139 5.5922
angles (deg): 90.00 90.00 90.00
Atoms (fractional coordinates):
1 As 0.1379 0.3621 0.0000
2 As 0.3621 0.8621 0.0000
3 As 0.6379 0.1379 0.0000
4 As 0.8621 0.6379 0.0000
5 Rh 0.0000 0.0000 0.0000
6 Rh 0.5000 0.5000 0.0000
7 Pb 0.1860 0.6860 0.5000
8 Pb 0.3140 0.1860 0.5000
9 Pb 0.6860 0.8140 0.5000
10 Pb 0.8140 0.3140 0.5000

Properties
ΔH_f (0 K) ... -0.502 eV per formula unit
Total magnetic moment ... 0.000 μB/f.u.
Density ... 9.63 Mg/m³
DOS at the Fermi energy ... 8.184 states/eV/cell
Space group ... P4/mbm, No. 127

---

# 14
Computed, not measured: an optimized crystal structure of As2RhPb at the PBE level of DFT.

a b c (Å): 6.9371 6.9371 6.9371
angles (deg): 150.43 148.13 44.03
Atoms (fractional coordinates):
1 As 0.0000 0.0000 0.0000
2 As 0.6677 0.1677 0.5000
3 Rh 0.5327 0.5327 0.0000
4 Pb 0.3159 0.8159 0.5000

Properties
ΔH_f (0 K) ... -0.058 eV per formula unit
Total magnetic moment ... 0.000 μB/f.u.
Density ... 8.81 Mg/m³
DOS at the Fermi energy ... 2.323 states/eV/cell
Space group ... Imm2, No. 44

---

# 15
Computed, not measured: an optimized crystal structure of AsRh5Pb2 at the PBE level of DFT.

a b c (Å): 5.8700 10.9751 4.1606
angles (deg): 90.00 90.00 90.00
Atoms (fractional coordinates):
1 As 0.0000 0.0000 0.0000
2 As 0.5000 0.5000 0.0000
3 Rh 0.0000 0.5000 0.0000
4 Rh 0.0937 0.2194 0.0000
5 Rh 0.1719 0.9083 0.5000
6 Rh 0.3281 0.4083 0.5000
7 Rh 0.4063 0.7194 0.0000
8 Rh 0.5000 0.0000 0.0000
9 Rh 0.5937 0.2806 0.0000
10 Rh 0.6719 0.5917 0.5000
11 Rh 0.8281 0.0917 0.5000
12 Rh 0.9063 0.7806 0.0000
13 Pb 0.1260 0.6529 0.5000
14 Pb 0.3740 0.1529 0.5000
15 Pb 0.6260 0.8471 0.5000
16 Pb 0.8740 0.3471 0.5000

Properties
ΔH_f (0 K) ... -0.850 eV per formula unit
Total magnetic moment ... 0.000 μB/f.u.
Density ... 12.44 Mg/m³
DOS at the Fermi energy ... 9.324 states/eV/cell
Space group ... Pbam, No. 55

---

# 16
Computed, not measured: an optimized crystal structure of As2RhPb at the PBE level of DFT.

a b c (Å): 4.5658 4.0704 4.9126
angles (deg): 90.00 109.33 90.00
Atoms (fractional coordinates):
1 As 0.2185 0.0000 0.3400
2 As 0.7815 0.0000 0.6600
3 Rh 0.0000 0.5000 0.5000
4 Pb 0.5000 0.5000 0.0000

Properties
ΔH_f (0 K) ... -0.609 eV per formula unit
Total magnetic moment ... 0.000 μB/f.u.
Density ... 8.87 Mg/m³
DOS at the Fermi energy ... 1.776 states/eV/cell
Space group ... P2/m, No. 10

---

# 17
Computed, not measured: an optimized crystal structure of AsRh3Pb at the PBE level of DFT.

a b c (Å): 4.9501 4.9501 4.9501
angles (deg): 90.00 90.00 90.00
Atoms (fractional coordinates):
1 As 0.0000 0.0000 0.0000
2 Rh 0.0000 0.5000 0.5000
3 Rh 0.5000 0.0000 0.5000
4 Rh 0.5000 0.5000 0.0000
5 Pb 0.5000 0.5000 0.5000

Properties
ΔH_f (0 K) ... 7.396 eV per formula unit
Total magnetic moment ... 1.369 μB/f.u.
Density ... 8.09 Mg/m³
DOS at the Fermi energy ... 8.330 states/eV/cell
Space group ... Pm-3m, No. 221

---

# 18
Computed, not measured: an optimized crystal structure of AsRh2Pb at the PBE level of DFT.

a b c (Å): 4.5339 4.5339 3.3711
angles (deg): 90.00 90.00 90.00
Atoms (fractional coordinates):
1 As 0.0000 0.0000 0.0000
2 Rh 0.0000 0.5000 0.5000
3 Rh 0.5000 0.0000 0.5000
4 Pb 0.5000 0.5000 0.0000

Properties
ΔH_f (0 K) ... 0.224 eV per formula unit
Total magnetic moment ... 0.000 μB/f.u.
Density ... 11.69 Mg/m³
DOS at the Fermi energy ... 5.112 states/eV/cell
Space group ... P4/mmm, No. 123

---

# 19
Computed, not measured: an optimized crystal structure of AsRh2Pb at the PBE level of DFT.

a b c (Å): 8.4911 8.4911 8.4911
angles (deg): 22.48 22.48 22.48
Atoms (fractional coordinates):
1 As 0.0000 0.0000 0.0000
2 Rh 0.4767 0.4767 0.4767
3 Rh 0.7238 0.7238 0.7238
4 Pb 0.2238 0.2238 0.2238

Properties
ΔH_f (0 K) ... 0.446 eV per formula unit
Total magnetic moment ... 0.000 μB/f.u.
Density ... 10.32 Mg/m³
DOS at the Fermi energy ... 4.559 states/eV/cell
Space group ... R3m, No. 160

---

# 20
Computed, not measured: an optimized crystal structure of As2RhPb at the PBE level of DFT.

a b c (Å): 5.9125 5.9125 5.9125
angles (deg): 149.83 125.31 63.74
Atoms (fractional coordinates):
1 As 0.1995 0.1995 0.0000
2 As 0.8005 0.8005 0.0000
3 Rh 0.0000 0.5000 0.5000
4 Pb 0.5000 0.0000 0.5000

Properties
ΔH_f (0 K) ... 0.124 eV per formula unit
Total magnetic moment ... 0.000 μB/f.u.
Density ... 9.10 Mg/m³
DOS at the Fermi energy ... 2.708 states/eV/cell
Space group ... Immm, No. 71

---

# 21
Computed, not measured: an optimized crystal structure of As2RhPb at the PBE level of DFT.

a b c (Å): 3.9465 3.9699 5.6927
angles (deg): 90.00 93.31 90.00
Atoms (fractional coordinates):
1 As 0.0000 0.0000 0.0000
2 As 0.4556 0.5000 0.9990
3 Rh 0.4876 0.0000 0.7273
4 Pb 0.9567 0.5000 0.4959

Properties
ΔH_f (0 K) ... -0.232 eV per formula unit
Total magnetic moment ... 0.000 μB/f.u.
Density ... 8.58 Mg/m³
DOS at the Fermi energy ... 1.528 states/eV/cell
Space group ... Pm, No. 6

---

# 22
Computed, not measured: an optimized crystal structure of AsRh2Pb at the PBE level of DFT.

a b c (Å): 7.5819 6.6159 5.7892
angles (deg): 90.00 90.34 90.00
Atoms (fractional coordinates):
1 As 0.1181 0.0592 0.3023
2 As 0.1181 0.4408 0.8023
3 As 0.8819 0.5592 0.1977
4 As 0.8819 0.9408 0.6977
5 Rh 0.0901 0.7035 0.4964
6 Rh 0.0901 0.7965 0.9964
7 Rh 0.3182 0.2132 0.0072
8 Rh 0.3182 0.2868 0.5072
9 Rh 0.6818 0.7132 0.4928
10 Rh 0.6818 0.7868 0.9928
11 Rh 0.9099 0.2035 0.0036
12 Rh 0.9099 0.2965 0.5036
13 Pb 0.3861 0.6034 0.2180
14 Pb 0.3861 0.8966 0.7180
15 Pb 0.6139 0.1034 0.2820
16 Pb 0.6139 0.3966 0.7820

Properties
ΔH_f (0 K) ... -1.406 eV per formula unit
Total magnetic moment ... 0.000 μB/f.u.
Density ... 11.16 Mg/m³
DOS at the Fermi energy ... 4.692 states/eV/cell
Space group ... P2_1/c, No. 14

---

# 23
Computed, not measured: an optimized crystal structure of AsRh2Pb at the PBE level of DFT.

a b c (Å): 3.4840 3.4840 5.9929
angles (deg): 90.00 90.00 90.00
Atoms (fractional coordinates):
1 As 0.0000 0.0000 0.0000
2 Rh 0.0000 0.0000 0.5951
3 Rh 0.5000 0.5000 0.8918
4 Pb 0.5000 0.5000 0.3788

Properties
ΔH_f (0 K) ... -0.569 eV per formula unit
Total magnetic moment ... 0.000 μB/f.u.
Density ... 11.14 Mg/m³
DOS at the Fermi energy ... 2.184 states/eV/cell
Space group ... P4mm, No. 99

---

# 24
Computed, not measured: an optimized crystal structure of AsRh2Pb at the PBE level of DFT.

a b c (Å): 6.2257 6.2257 6.2257
angles (deg): 36.78 36.78 36.78
Atoms (fractional coordinates):
1 As 0.0000 0.0000 0.0000
2 Rh 0.3840 0.3840 0.3840
3 Rh 0.6077 0.6077 0.6077
4 Pb 0.8264 0.8264 0.8264

Properties
ΔH_f (0 K) ... -0.636 eV per formula unit
Total magnetic moment ... 0.000 μB/f.u.
Density ... 10.46 Mg/m³
DOS at the Fermi energy ... 2.578 states/eV/cell
Space group ... R3m, No. 160

---

# 25
Computed, not measured: an optimized crystal structure of AsRh2Pb at the PBE level of DFT.

a b c (Å): 3.3072 4.6822 4.8840
angles (deg): 90.00 90.16 90.00
Atoms (fractional coordinates):
1 As 0.0000 0.0000 0.0000
2 Rh 0.9999 0.5000 0.8191
3 Rh 0.4986 0.0000 0.6463
4 Pb 0.4998 0.5000 0.3345

Properties
ΔH_f (0 K) ... -0.503 eV per formula unit
Total magnetic moment ... 0.000 μB/f.u.
Density ... 10.71 Mg/m³
DOS at the Fermi energy ... 2.303 states/eV/cell
Space group ... Pm, No. 6

---

# 26
Computed, not measured: an optimized crystal structure of AsRh2Pb at the PBE level of DFT.

a b c (Å): 8.3706 8.3706 8.3706
angles (deg): 21.92 21.92 21.92
Atoms (fractional coordinates):
1 As 0.0000 0.0000 0.0000
2 Rh 0.2627 0.2627 0.2627
3 Rh 0.7373 0.7373 0.7373
4 Pb 0.5000 0.5000 0.5000

Properties
ΔH_f (0 K) ... -0.235 eV per formula unit
Total magnetic moment ... 0.000 μB/f.u.
Density ... 11.31 Mg/m³
DOS at the Fermi energy ... 3.246 states/eV/cell
Space group ... R-3m, No. 166

---

# 27
Computed, not measured: an optimized crystal structure of AsRh2Pb at the PBE level of DFT.

a b c (Å): 3.1227 3.1227 7.2371
angles (deg): 90.00 90.00 90.00
Atoms (fractional coordinates):
1 As 0.0000 0.0000 0.0000
2 Rh 0.5000 0.5000 0.1950
3 Rh 0.5000 0.5000 0.8050
4 Pb 0.0000 0.0000 0.5000

Properties
ΔH_f (0 K) ... -0.265 eV per formula unit
Total magnetic moment ... 0.000 μB/f.u.
Density ... 11.48 Mg/m³
DOS at the Fermi energy ... 4.329 states/eV/cell
Space group ... P4/mmm, No. 123

---

# 28
Computed, not measured: an optimized crystal structure of AsRh2Pb at the PBE level of DFT.

a b c (Å): 3.1292 3.1292 7.7783
angles (deg): 90.00 90.00 90.00
Atoms (fractional coordinates):
1 As 0.0000 0.0000 0.0000
2 Rh 0.0000 0.0000 0.6108
3 Rh 0.5000 0.5000 0.8412
4 Pb 0.5000 0.5000 0.3757

Properties
ΔH_f (0 K) ... -0.132 eV per formula unit
Total magnetic moment ... 0.000 μB/f.u.
Density ... 10.64 Mg/m³
DOS at the Fermi energy ... 4.182 states/eV/cell
Space group ... P4mm, No. 99